Run i
# SiTeRh

A relaxed SiTeRh crystal (PBE, Alexandria).

Geometry as CIF:
```
data_SiTeRh
_chemical_formula_sum 'Si2 Te2 Rh2'
_cell_length_a 3.078
_cell_length_b 3.078
_cell_length_c 12.966
_cell_angle_alpha 90.00
_cell_angle_beta 90.00
_cell_angle_gamma 90.00
_symmetry_space_group_name_H-M 'I 4 m m'
_symmetry_Int_Tables_number 107
_symmetry_space_group_name_Hall 'I 4 -2'
loop_
_atom_site_label
_atom_site_type_symbol
_atom_site_fract_x
_atom_site_fract_y
_atom_site_fract_z
_atom_site_occupancy
Si1 Si 0.000 0.000 0.000 1
Te1 Te 0.000 0.000 0.792 1
Rh1 Rh 0.000 0.000 0.575 1
```

Run ii
# SiTeRh

A relaxed SiTeRh crystal (PBE, Alexandria).

Geometry as CIF:
```
data_SiTeRh
_chemical_formula_sum 'Si4 Te4 Rh4'
_cell_length_a 6.191
_cell_length_b 6.191
_cell_length_c 6.191
_cell_angle_alpha 90.00
_cell_angle_beta 90.00
_cell_angle_gamma 90.00
_symmetry_space_group_name_H-M 'F -4 3 m'
_symmetry_Int_Tables_number 216
_symmetry_space_group_name_Hall 'F -4 2 3'
loop_
_atom_site_label
_atom_site_type_symbol
_atom_site_fract_x
_atom_site_fract_y
_atom_site_fract_z
_atom_site_occupancy
Si1 Si 0.000 0.000 0.000 1
Te1 Te 0.000 0.000 0.500 1
Rh1 Rh 0.250 0.250 0.750 1
```

Run iii
# SiTeRh

A relaxed SiTeRh crystal (PBE, Alexandria).

Geometry as CIF:
```
data_SiTeRh
_chemical_formula_sum 'Si4 Te4 Rh4'
_cell_length_a 6.404
_cell_length_b 6.315
_cell_length_c 6.387
_cell_angle_alpha 90.00
_cell_angle_beta 114.91
_cell_angle_gamma 90.00
_symmetry_space_group_name_H-M 'P 1 21/c 1'
_symmetry_Int_Tables_number 14
_symmetry_space_group_name_Hall '-P 2ybc'
loop_
_atom_site_label
_atom_site_type_symbol
_atom_site_fract_x
_atom_site_fract_y
_atom_site_fract_z
_atom_site_occupancy
Si1 Si 0.142 0.149 0.334 1
Te1 Te 0.339 0.620 0.647 1
Rh1 Rh 0.212 0.014 0.709 1
```

Stability ranking, top entry: run iii; the second entry is 235 meV/atom less favorable.

Run i
# SiTeRh

A relaxed SiTeRh crystal (PBE, Alexandria).

Geometry as CIF:
```
data_SiTeRh
_chemical_formula_sum 'Si1 Te1 Rh1'
_cell_length_a 3.5428
_cell_length_b 3.5428
_cell_length_c 5.3827
_cell_angle_alpha 90.00
_cell_angle_beta 90.00
_cell_angle_gamma 120.00
_symmetry_space_group_name_H-M 'P 3 m 1'
_symmetry_Int_Tables_number 156
_symmetry_space_group_name_Hall 'P 3 -2"'
loop_
_atom_site_label
_atom_site_type_symbol
_atom_site_fract_x
_atom_site_fract_y
_atom_site_fract_z
_atom_site_occupancy
Si1 Si 0.0000 0.0000 0.0000 1
Te1 Te 0.6667 0.3333 0.4313 1
Rh1 Rh 0.3333 0.6667 0.7787 1
```

Run ii
# SiTeRh

A relaxed SiTeRh crystal (PBE, Alexandria).

Geometry as CIF:
```
data_SiTeRh
_chemical_formula_sum 'Si2 Te2 Rh2'
_cell_length_a 3.054
_cell_length_b 3.054
_cell_length_c 12.163
_cell_angle_alpha 90.00
_cell_angle_beta 90.00
_cell_angle_gamma 90.00
_symmetry_space_group_name_H-M 'I 4 m m'
_symmetry_Int_Tables_number 107
_symmetry_space_group_name_Hall 'I 4 -2'
loop_
_atom_site_label
_atom_site_type_symbol
_atom_site_fract_x
_atom_site_fract_y
_atom_site_fract_z
_atom_site_occupancy
Si1 Si 0.000 0.000 0.000 1
Te1 Te 0.000 0.000 0.721 1
Rh1 Rh 0.000 0.000 0.400 1
```

Stability ranking, top entry: run i; the second entry is 136 meV/atom less favorable.

Run i
# SiTeRh3

A relaxed SiTeRh3 crystal (PBE, Alexandria).

Geometry as CIF:
```
data_SiTeRh3
_chemical_formula_sum 'Si1 Te1 Rh3'
_cell_length_a 4.829
_cell_length_b 4.829
_cell_length_c 4.829
_cell_angle_alpha 90.00
_cell_angle_beta 90.00
_cell_angle_gamma 90.00
_symmetry_space_group_name_H-M 'P m -3 m'
_symmetry_Int_Tables_number 221
_symmetry_space_group_name_Hall '-P 4 2 3'
loop_
_atom_site_label
_atom_site_type_symbol
_atom_site_fract_x
_atom_site_fract_y
_atom_site_fract_z
_atom_site_occupancy
Si1 Si 0.000 0.000 0.000 1
Te1 Te 0.500 0.500 0.500 1
Rh1 Rh 0.000 0.500 0.500 1
```

Run ii
# SiTeRh3

A relaxed SiTeRh3 crystal (PBE, Alexandria).

Geometry as CIF:
```
data_SiTeRh3
_chemical_formula_sum 'Si1 Te1 Rh3'
_cell_length_a 4.484
_cell_length_b 4.484
_cell_length_c 4.484
_cell_angle_alpha 90.00
_cell_angle_beta 90.00
_cell_angle_gamma 90.00
_symmetry_space_group_name_H-M 'P m -3 m'
_symmetry_Int_Tables_number 221
_symmetry_space_group_name_Hall '-P 4 2 3'
loop_
_atom_site_label
_atom_site_type_symbol
_atom_site_fract_x
_atom_site_fract_y
_atom_site_fract_z
_atom_site_occupancy
Si1 Si 0.000 0.000 0.000 1
Te1 Te 0.500 0.500 0.500 1
Rh1 Rh 0.000 0.000 0.500 1
```

Stability ranking, top entry: run ii; the second entry is 918 meV/atom less favorable.

Run i
# TiSiRh5

A relaxed TiSiRh5 crystal (PBE, Alexandria).

Geometry as CIF:
```
data_TiSiRh5
_chemical_formula_sum 'Ti4 Si4 Rh20'
_cell_length_a 12.001
_cell_length_b 6.457
_cell_length_c 5.481
_cell_angle_alpha 90.00
_cell_angle_beta 106.03
_cell_angle_gamma 90.00
_symmetry_space_group_name_H-M 'C 1 2/c 1'
_symmetry_Int_Tables_number 15
_symmetry_space_group_name_Hall '-C 2yc'
loop_
_atom_site_label
_atom_site_type_symbol
_atom_site_fract_x
_atom_site_fract_y
_atom_site_fract_z
_atom_site_occupancy
Ti1 Ti 0.000 0.206 0.250 1
Si1 Si 0.250 0.250 0.000 1
Rh1 Rh 0.000 0.198 0.750 1
Rh2 Rh 0.115 0.494 0.560 1
Rh3 Rh 0.175 0.062 0.583 1
```

Run ii
# TiSiRh5

A relaxed TiSiRh5 crystal (PBE, Alexandria).

Geometry as CIF:
```
data_TiSiRh5
_chemical_formula_sum 'Ti1 Si1 Rh5'
_cell_length_a 3.958
_cell_length_b 3.958
_cell_length_c 6.516
_cell_angle_alpha 90.00
_cell_angle_beta 90.00
_cell_angle_gamma 90.00
_symmetry_space_group_name_H-M 'P 4/m m m'
_symmetry_Int_Tables_number 123
_symmetry_space_group_name_Hall '-P 4 2'
loop_
_atom_site_label
_atom_site_type_symbol
_atom_site_fract_x
_atom_site_fract_y
_atom_site_fract_z
_atom_site_occupancy
Ti1 Ti 0.000 0.000 0.000 1
Si1 Si 0.500 0.500 0.500 1
Rh1 Rh 0.000 0.500 0.285 1
Rh2 Rh 0.500 0.500 0.000 1
```

Stability ranking, top entry: run ii; the second entry is 119 meV/atom less favorable.

Run i
# TiSiRh2W

A relaxed TiSiRh2W crystal (PBE, Alexandria).

Geometry as CIF:
```
data_TiSiRh2W
_chemical_formula_sum 'Ti1 Si1 Rh2 W1'
_cell_length_a 4.676
_cell_length_b 4.676
_cell_length_c 4.645
_cell_angle_alpha 90.00
_cell_angle_beta 90.00
_cell_angle_gamma 90.00
_symmetry_space_group_name_H-M 'P 4/m m m'
_symmetry_Int_Tables_number 123
_symmetry_space_group_name_Hall '-P 4 2'
loop_
_atom_site_label
_atom_site_type_symbol
_atom_site_fract_x
_atom_site_fract_y
_atom_site_fract_z
_atom_site_occupancy
Ti1 Ti 0.000 0.000 0.000 1
Si1 Si 0.500 0.500 0.000 1
Rh1 Rh 0.000 0.500 0.500 1
W1 W 0.500 0.500 0.500 1
```

Run ii
# TiSiRh2W

A relaxed TiSiRh2W crystal (PBE, Alexandria).

Geometry as CIF:
```
data_TiSiRh2W
_chemical_formula_sum 'Ti1 Si1 Rh2 W1'
_cell_length_a 4.697
_cell_length_b 4.697
_cell_length_c 4.723
_cell_angle_alpha 90.00
_cell_angle_beta 90.00
_cell_angle_gamma 90.00
_symmetry_space_group_name_H-M 'P 4/m m m'
_symmetry_Int_Tables_number 123
_symmetry_space_group_name_Hall '-P 4 2'
loop_
_atom_site_label
_atom_site_type_symbol
_atom_site_fract_x
_atom_site_fract_y
_atom_site_fract_z
_atom_site_occupancy
Ti1 Ti 0.000 0.000 0.000 1
Si1 Si 0.500 0.500 0.000 1
Rh1 Rh 0.000 0.500 0.500 1
W1 W 0.000 0.000 0.500 1
```

Stability ranking, top entry: run i; the second entry is 241 meV/atom less favorable.

Run i
# TlSi2Rh

A relaxed TlSi2Rh crystal (PBE, Alexandria).

Geometry as CIF:
```
data_TlSi2Rh
_chemical_formula_sum 'Tl1 Si2 Rh1'
_cell_length_a 3.605
_cell_length_b 3.505
_cell_length_c 6.251
_cell_angle_alpha 90.00
_cell_angle_beta 106.28
_cell_angle_gamma 90.00
_symmetry_space_group_name_H-M 'P 1 m 1'
_symmetry_Int_Tables_number 6
_symmetry_space_group_name_Hall 'P -2y'
loop_
_atom_site_label
_atom_site_type_symbol
_atom_site_fract_x
_atom_site_fract_y
_atom_site_fract_z
_atom_site_occupancy
Tl1 Tl 0.000 0.000 0.000 1
Si1 Si 0.243 0.000 0.459 1
Si2 Si 0.748 0.500 0.471 1
Rh1 Rh 0.378 0.500 0.739 1
```

Run ii
# TlSi2Rh

A relaxed TlSi2Rh crystal (PBE, Alexandria).

Geometry as CIF:
```
data_TlSi2Rh
_chemical_formula_sum 'Tl1 Si2 Rh1'
_cell_length_a 3.075
_cell_length_b 3.075
_cell_length_c 7.801
_cell_angle_alpha 90.00
_cell_angle_beta 90.00
_cell_angle_gamma 90.00
_symmetry_space_group_name_H-M 'P 4/m m m'
_symmetry_Int_Tables_number 123
_symmetry_space_group_name_Hall '-P 4 2'
loop_
_atom_site_label
_atom_site_type_symbol
_atom_site_fract_x
_atom_site_fract_y
_atom_site_fract_z
_atom_site_occupancy
Tl1 Tl 0.000 0.000 0.000 1
Si1 Si 0.500 0.500 0.323 1
Rh1 Rh 0.000 0.000 0.500 1
```

Stability ranking, top entry: run ii; the second entry is 27 meV/atom less favorable.